The following is a PBE calculation of crystalline TcTeAu at its relaxed geometry, from the Alexandria database.

The space group is P-1 (No. 2) and the conventional cell measures 3.803, 5.309 and 6.720 Å, with angles of 70.00, 85.88 and 78.68 degrees. The distinct sites, in fractional coordinates, are Tc at (0.247, 0.339, 0.477), Te at (0.201, 0.979, 0.262) and Au at (0.289, 0.469, 0.853).



The following is a PBE calculation of crystalline TcTe2Au at its relaxed geometry, from the Alexandria database.

The space group is F-43m (No. 216) and the conventional cell measures 7.079, 7.079 and 7.079 Å, with angles of 90.00, 90.00 and 90.00 degrees. The distinct sites, in fractional coordinates, are Tc at (0.000, 0.000, 0.000), Te at (0.000, 0.000, 0.500), Te at (0.250, 0.250, 0.250) and Au at (0.250, 0.250, 0.750).



Which E_form (uncorrected) belongs to each record? In order, 0.5, 3.2 eV per formula unit.
Which calculated density belongs to each record? In order, 11.23, 10.30 g/cm3.